# MnZnCd2, optimized geometry, DFT PBE
data_MnZnCd2
_cell_length_a 3.1408
_cell_length_b 4.7790
_cell_length_c 9.7259
_cell_angle_alpha 90.00
_cell_angle_beta 90.00
_cell_angle_gamma 90.00
_symmetry_space_group_name_H-M 'I m m 2'
_symmetry_Int_Tables_number 44
loop_
_symmetry_equiv_pos_as_xyz
'x,y,z'
'-x,-y,z'
'-x,y,z'
'x,-y,z'
'x+1/2,y+1/2,z+1/2'
'-x+1/2,-y+1/2,z+1/2'
'-x+1/2,y+1/2,z+1/2'
'x+1/2,-y+1/2,z+1/2'
loop_
_atom_site_label
_atom_site_type_symbol
_atom_site_fract_x
_atom_site_fract_y
_atom_site_fract_z
Mn1 Mn 0.0000 0.0000 0.0000
Zn1 Zn 0.0000 0.5000 0.7151
Cd1 Cd 0.0000 0.0000 0.4736
Cd2 Cd 0.0000 0.5000 0.2522
# * volume: 18.25 Å³/atom
# * total magnetic moment: 3.56 μB per formula unit
# * total energy: -2.88 eV per atom
# * Fermi-level density of states: 2.66 states/eV/f.u.
# * density: 7.9 g cm⁻³
# * formation energy from the elements: 191 meV/atom

***

# Mn2Zn2Cd, optimized geometry, DFT PBE
data_Mn2Zn2Cd
_cell_length_a 7.2725
_cell_length_b 7.2725
_cell_length_c 2.9510
_cell_angle_alpha 90.00
_cell_angle_beta 90.00
_cell_angle_gamma 90.00
_symmetry_space_group_name_H-M 'P 4/m b m'
_symmetry_Int_Tables_number 127
_symmetry_space_group_name_Hall '-P 4 2ab'
loop_
_atom_site_label
_atom_site_type_symbol
_atom_site_fract_x
_atom_site_fract_y
_atom_site_fract_z
Mn1 Mn 0.1673 0.3327 0.0000
Zn1 Zn 0.1278 0.6278 0.5000
Cd1 Cd 0.0000 0.0000 0.5000
# * volume: 15.61 Å³/atom
# * total magnetic moment: 6.52 μB per formula unit
# * total energy: -4.22 eV per atom
# * ΔE to the lowest computed polymorph: 0 meV per atom
# * Fermi-level density of states: 3.26 states/eV/f.u.
# * density: 7.5 g cm⁻³
# * formation energy from the elements: 140 meV/atom

***

# Mn2ZnCd, optimized geometry, DFT PBE
data_Mn2ZnCd
_cell_length_a 2.8781
_cell_length_b 2.8781
_cell_length_c 7.4759
_cell_angle_alpha 90.00
_cell_angle_beta 90.00
_cell_angle_gamma 90.00
_symmetry_space_group_name_H-M 'P 4/m m m'
_symmetry_Int_Tables_number 123
_symmetry_space_group_name_Hall '-P 4 2'
loop_
_atom_site_label
_atom_site_type_symbol
_atom_site_fract_x
_atom_site_fract_y
_atom_site_fract_z
Mn1 Mn 0.0000 0.0000 0.2249
Zn1 Zn 0.5000 0.5000 0.0000
Cd1 Cd 0.5000 0.5000 0.5000
# * volume: 15.48 Å³/atom
# * total magnetic moment: 6.46 μB per formula unit
# * total energy: -4.94 eV per atom
# * ΔE to the lowest computed polymorph: 68 meV per atom
# * Fermi-level density of states: 2.92 states/eV/f.u.
# * density: 7.7 g cm⁻³
# * formation energy from the elements: 197 meV/atom

***

# MnZnCd2, optimized geometry, DFT PBE
data_MnZnCd2
_cell_length_a 4.1928
_cell_length_b 4.1928
_cell_length_c 8.2011
_cell_angle_alpha 90.00
_cell_angle_beta 90.00
_cell_angle_gamma 90.00
_symmetry_space_group_name_H-M 'I 4/m m m'
_symmetry_Int_Tables_number 139
_symmetry_space_group_name_Hall '-I 4 2'
loop_
_atom_site_label
_atom_site_type_symbol
_atom_site_fract_x
_atom_site_fract_y
_atom_site_fract_z
Mn1 Mn 0.0000 0.0000 0.0000
Zn1 Zn 0.0000 0.0000 0.5000
Cd1 Cd 0.0000 0.5000 0.2500
# * volume: 18.02 Å³/atom
# * total magnetic moment: 3.62 μB per formula unit
# * total energy: -2.87 eV per atom
# * Fermi-level density of states: 1.80 states/eV/f.u.
# * density: 8.0 g cm⁻³
# * formation energy from the elements: 196 meV/atom

***

# Mn2ZnCd, optimized geometry, DFT PBE
data_Mn2ZnCd
_cell_length_a 4.0117
_cell_length_b 4.0117
_cell_length_c 7.7524
_cell_angle_alpha 90.00
_cell_angle_beta 90.00
_cell_angle_gamma 90.00
_symmetry_space_group_name_H-M 'I 4/m m m'
_symmetry_Int_Tables_number 139
_symmetry_space_group_name_Hall '-I 4 2'
loop_
_atom_site_label
_atom_site_type_symbol
_atom_site_fract_x
_atom_site_fract_y
_atom_site_fract_z
Mn1 Mn 0.0000 0.5000 0.2500
Zn1 Zn 0.0000 0.0000 0.0000
Cd1 Cd 0.0000 0.0000 0.5000
# * volume: 15.60 Å³/atom
# * total magnetic moment: 6.55 μB per formula unit
# * total energy: -4.90 eV per atom
# * ΔE to the lowest computed polymorph: 101 meV per atom
# * Fermi-level density of states: 3.71 states/eV/f.u.
# * density: 7.7 g cm⁻³
# * formation energy from the elements: 230 meV/atom

***

# Mn2ZnCd, optimized geometry, DFT PBE
data_Mn2ZnCd
_cell_length_a 6.3828
_cell_length_b 6.3828
_cell_length_c 6.3828
_cell_angle_alpha 90.00
_cell_angle_beta 90.00
_cell_angle_gamma 90.00
_symmetry_space_group_name_H-M 'F -4 3 m'
_symmetry_Int_Tables_number 216
_symmetry_space_group_name_Hall 'F -4 2 3'
loop_
_atom_site_label
_atom_site_type_symbol
_atom_site_fract_x
_atom_site_fract_y
_atom_site_fract_z
Mn1 Mn 0.0000 0.0000 0.0000
Mn2 Mn 0.2500 0.2500 0.2500
Zn1 Zn 0.0000 0.0000 0.5000
Cd1 Cd 0.2500 0.2500 0.7500
# * volume: 16.25 Å³/atom
# * total magnetic moment: 7.33 μB per formula unit
# * total energy: -4.77 eV per atom
# * ΔE to the lowest computed polymorph: 232 meV per atom
# * Fermi-level density of states: 5.35 states/eV/f.u.
# * density: 7.3 g cm⁻³
# * formation energy from the elements: 361 meV/atom

***

- Which value of Fermi-level density of states does entry 3 give?
  2.92 states/eV/f.u.

***

- Which value of formation energy from the elements does entry 3 give?
  197 meV/atom